Record 1
## KCeNdMnO6 (GGA+U)

Data for a relaxed structure of KCeNdMnO6.

Results
uncorrected energy	-7.2699	eV per atom
spin magnetization	3.018	μB/f.u.
space group	F-43m, No. 216
V	13.8	Å³/atom

abc: 5.795 5.795 5.795
angles: 60.00 60.00 60.00
Fractional positions:
K  0.000  0.000  0.000
Ce  0.750  0.750  0.750
Nd  0.500  0.500  0.500
Mn  0.250  0.250  0.250
O  0.017  0.017  0.483
O  0.017  0.483  0.017
O  0.017  0.483  0.483
O  0.483  0.017  0.017
O  0.483  0.017  0.483
O  0.483  0.483  0.017

---

Record 2
## K4Ce3MnO8 (GGA+U)

Data for a relaxed structure of K4Ce3MnO8.

Results
uncorrected energy	-6.6248	eV per atom
spin magnetization	5.014	μB/f.u.
space group	C2/m, No. 12
V	17.1	Å³/atom

abc: 7.077 7.077 7.488
angles: 118.35 118.35 60.91
Fractional positions:
K  0.000  0.000  0.000
K  0.000  0.500  0.000
K  0.500  0.000  0.000
K  0.500  0.500  0.000
Ce  0.000  0.000  0.500
Ce  0.000  0.500  0.500
Ce  0.500  0.000  0.500
Mn  0.500  0.500  0.500
O  0.220  0.738  0.692
O  0.232  0.232  0.692
O  0.262  0.780  0.308
O  0.281  0.281  0.322
O  0.719  0.719  0.678
O  0.738  0.220  0.692
O  0.768  0.768  0.308
O  0.780  0.262  0.308

---

Record 3
## K2CeMnO4 (GGA+U)

Data for a relaxed structure of K2CeMnO4.

Results
uncorrected energy	-6.6269	eV per atom
spin magnetization	5.000	μB/f.u.
space group	P2/m, No. 10
V	16.0	Å³/atom

abc: 5.792 3.549 6.518
angles: 90.00 107.42 90.00
Fractional positions:
K  0.000  0.000  0.000
K  0.500  0.500  0.000
Ce  0.000  0.500  0.500
Mn  0.500  0.000  0.500
O  0.227  0.000  0.689
O  0.262  0.500  0.314
O  0.738  0.500  0.686
O  0.773  0.000  0.311

---

- Look up the spin magnetization of the first one.
  3.018 μB/f.u.

---

- Number 3 is which compound?
  K2CeMnO4

---

- The lowest spin magnetization belongs to which entry?
  KCeNdMnO6